A plane-wave DFT calculation with GGA-PBE was carried out for Sc2CdPb5 after structural relaxation.

volume	215.47	Å³ per cell
SG	I4mm (107)
total magnetic moment	0.0	μB per cell
final energy	-0.1518	hartree per atom

a b c (Å): 6.550 6.550 6.550
angles (deg): 107.45 107.45 113.59
Sites, in units of the cell vectors:
Sc 0.000 0.500 0.500
Sc 0.500 0.000 0.500
Cd 0.000 0.000 0.000
Pb 0.000 0.000 0.500
Pb 0.000 0.500 0.000
Pb 0.500 0.000 0.000
Pb 0.500 0.500 0.000
Pb 0.500 0.500 0.500

A plane-wave DFT calculation with GGA-PBE was carried out for ScCd2Pb after structural relaxation.

volume	95.67	Å³ per cell
SG	P2/m (10)
total magnetic moment	0.0	μB per cell
final energy	-0.1151	hartree per atom

a b c (Å): 5.159 3.406 5.668
angles (deg): 90.00 106.13 90.00
Sites, in units of the cell vectors:
Sc 0.000 0.000 0.000
Cd 0.000 0.500 0.500
Cd 0.500 0.000 0.500
Pb 0.500 0.500 0.000